Entry 1:
The following is a PBE calculation of a relaxed ZnCd2Pt9 crystal, from Alexandria via LeMat-Bulk.

Lattice parameters (Å, degrees): 4.0065 4.0065 11.9998 90.00 90.00 90.00
Sites, in units of the cell vectors:
Zn: 0.0000 0.0000 0.0000
Cd: 0.0000 0.0000 0.3294
Cd: 0.0000 0.0000 0.6706
Pt: 0.0000 0.5000 0.1578
Pt: 0.0000 0.5000 0.5000
Pt: 0.0000 0.5000 0.8422
Pt: 0.5000 0.0000 0.1578
Pt: 0.5000 0.0000 0.5000
Pt: 0.5000 0.0000 0.8422
Pt: 0.5000 0.5000 0.0000
Pt: 0.5000 0.5000 0.3291
Pt: 0.5000 0.5000 0.6709


Entry 2:
The following is a PBE calculation of a relaxed ZnCd3Pt12 crystal, from Alexandria via LeMat-Bulk.

Lattice parameters (Å, degrees): 4.0231 4.0231 15.9673 90.00 90.00 90.00
Sites, in units of the cell vectors:
Zn: 0.0000 0.0000 0.0000
Cd: 0.0000 0.0000 0.2456
Cd: 0.0000 0.0000 0.5000
Cd: 0.0000 0.0000 0.7544
Pt: 0.0000 0.5000 0.1179
Pt: 0.0000 0.5000 0.3729
Pt: 0.0000 0.5000 0.6271
Pt: 0.0000 0.5000 0.8821
Pt: 0.5000 0.0000 0.1179
Pt: 0.5000 0.0000 0.3729
Pt: 0.5000 0.0000 0.6271
Pt: 0.5000 0.0000 0.8821
Pt: 0.5000 0.5000 0.0000
Pt: 0.5000 0.5000 0.2459
Pt: 0.5000 0.5000 0.5000
Pt: 0.5000 0.5000 0.7541


Entry 3:
The following is a PBE calculation of a relaxed ZnCd2Pt crystal, from Alexandria via LeMat-Bulk.

Lattice parameters (Å, degrees): 10.1565 3.1035 4.8526 90.00 108.71 90.00
Sites, in units of the cell vectors:
Zn: 0.0000 0.0000 0.0000
Zn: 0.5000 0.5000 0.0000
Cd: 0.2417 0.0000 0.8032
Cd: 0.4558 0.0000 0.4652
Cd: 0.7417 0.5000 0.8032
Cd: 0.9558 0.5000 0.4652
Pt: 0.2035 0.5000 0.2821
Pt: 0.7035 0.0000 0.2821


Entry 4:
The following is a PBE calculation of a relaxed ZnCdPt2 crystal, from Alexandria via LeMat-Bulk.

Lattice parameters (Å, degrees): 8.9966 2.9285 5.1100 90.00 102.69 90.00
Sites, in units of the cell vectors:
Zn: 0.0000 0.0000 0.0000
Zn: 0.5000 0.5000 0.0000
Cd: 0.0000 0.5000 0.5000
Cd: 0.5000 0.0000 0.5000
Pt: 0.2378 0.5000 0.2354
Pt: 0.2622 0.0000 0.7646
Pt: 0.7378 0.0000 0.2354
Pt: 0.7622 0.5000 0.7646


Entry 5:
The following is a PBE calculation of a relaxed Zn6CdPt5 crystal, from Alexandria via LeMat-Bulk.

Lattice parameters (Å, degrees): 4.6435 5.7386 6.8232 90.00 95.05 90.00
Sites, in units of the cell vectors:
Zn: 0.0000 0.2346 0.0000
Zn: 0.0000 0.7654 0.0000
Zn: 0.3271 0.2442 0.6523
Zn: 0.3271 0.7558 0.6523
Zn: 0.6729 0.2442 0.3477
Zn: 0.6729 0.7558 0.3477
Cd: 0.5000 0.5000 0.0000
Pt: 0.1582 0.5000 0.3215
Pt: 0.1673 0.0000 0.3288
Pt: 0.5000 0.0000 0.0000
Pt: 0.8327 0.0000 0.6712
Pt: 0.8418 0.5000 0.6785


Entry 6:
The following is a PBE calculation of a relaxed ZnCdPt2 crystal, from Alexandria via LeMat-Bulk.

Lattice parameters (Å, degrees): 2.9337 3.6770 5.9892 90.00 90.00 90.00
Sites, in units of the cell vectors:
Zn: 0.0000 0.0000 0.0000
Cd: 0.0000 0.0000 0.5000
Pt: 0.5000 0.5000 0.2318
Pt: 0.5000 0.5000 0.7682


Looking at DFT formation energy for the records above, in order, we have -234, -227, -198, -280, -467, -422 meV per atom.